[1]
# Mn4VMo2, relaxed, DFT GGA-PBE
data_Mn4VMo2
_cell_length_a 4.1617
_cell_length_b 4.1617
_cell_length_c 12.4587
_cell_angle_alpha 90.00
_cell_angle_beta 90.00
_cell_angle_gamma 90.00
_space_group_name_H-M_alt 'I 4/m m m'
_space_group_IT_number 139
_space_group_name_Hall '-I 4 2'
loop_
_atom_site_label
_atom_site_type_symbol
_atom_site_fract_x
_atom_site_fract_y
_atom_site_fract_z
Mn1 Mn 0.0000 0.0000 0.1930
Mn2 Mn 0.0000 0.5000 0.0000
V1 V 0.0000 0.0000 0.0000
Mo1 Mo 0.0000 0.0000 0.3762
# Total moment ... 4.437 Bohr magnetons per cell
# Energy ... -0.6337 Ry per atom
# ΔE_f ... 23.41 kcal/mol of atoms
# N(E_F) ... 8.47 states/eV/f.u.

---

[2]
# MnV3Mo3, relaxed, DFT GGA-PBE
data_MnV3Mo3
_cell_length_a 6.6397
_cell_length_b 4.2955
_cell_length_c 7.4549
_cell_angle_alpha 90.00
_cell_angle_beta 112.03
_cell_angle_gamma 90.00
_space_group_name_H-M_alt 'P 1 21/m 1'
_space_group_IT_number 11
_space_group_name_Hall '-P 2yb'
loop_
_atom_site_label
_atom_site_type_symbol
_atom_site_fract_x
_atom_site_fract_y
_atom_site_fract_z
Mn1 Mn 0.2110 0.2500 0.3236
V1 V 0.0734 0.2500 0.6023
V2 V 0.0749 0.7500 0.1148
V3 V 0.3555 0.7500 0.5305
Mo1 Mo 0.2021 0.7500 0.8150
Mo2 Mo 0.3502 0.2500 0.0386
Mo3 Mo 0.5000 0.2500 0.7422
# Total moment ... 0.000 Bohr magnetons per cell
# Energy ... -0.7328 Ry per atom
# ΔE_f ... -2.53 kcal/mol of atoms
# N(E_F) ... 3.75 states/eV/f.u.

---

[3]
# MnV6Mo, relaxed, DFT GGA-PBE
data_MnV6Mo
_cell_length_a 8.7210
_cell_length_b 8.7210
_cell_length_c 4.9660
_cell_angle_alpha 90.00
_cell_angle_beta 90.00
_cell_angle_gamma 120.00
_space_group_name_H-M_alt 'R -3 m'
_space_group_IT_number 166
_space_group_name_Hall '-R 3 2"'
loop_
_atom_site_label
_atom_site_type_symbol
_atom_site_fract_x
_atom_site_fract_y
_atom_site_fract_z
Mn1 Mn 0.0000 0.0000 0.0000
V1 V 0.0063 0.5032 0.7508
Mo1 Mo 0.0000 0.0000 0.5000
# Total moment ... 0.000 Bohr magnetons per cell
# Energy ... -0.6786 Ry per atom
# ΔE_f ... 2.45 kcal/mol of atoms
# N(E_F) ... 9.80 states/eV/f.u.

---

[4]
# Mn2V8Mo, relaxed, DFT GGA-PBE
data_Mn2V8Mo
_cell_length_a 12.9856
_cell_length_b 4.9107
_cell_length_c 4.7029
_cell_angle_alpha 90.00
_cell_angle_beta 96.71
_cell_angle_gamma 90.00
_space_group_name_H-M_alt 'C 1 2/m 1'
_space_group_IT_number 12
_space_group_name_Hall '-C 2y'
loop_
_atom_site_label
_atom_site_type_symbol
_atom_site_fract_x
_atom_site_fract_y
_atom_site_fract_z
Mn1 Mn 0.2412 0.0000 0.3645
V1 V 0.0880 0.0000 0.1109
V2 V 0.0958 0.2538 0.6076
V3 V 0.2139 0.5000 0.1145
Mo1 Mo 0.0000 0.5000 0.0000
# Total moment ... 0.000 Bohr magnetons per cell
# Energy ... -0.6767 Ry per atom
# ΔE_f ... 1.77 kcal/mol of atoms
# Energy above the most stable polymorph in this dataset ... 0.0 meV per atom
# N(E_F) ... 12.75 states/eV/f.u.

---

[5]
# MnVMo2, relaxed, DFT GGA-PBE
data_MnVMo2
_cell_length_a 4.2874
_cell_length_b 4.2874
_cell_length_c 3.0279
_cell_angle_alpha 90.00
_cell_angle_beta 90.00
_cell_angle_gamma 90.00
_space_group_name_H-M_alt 'P 4/m m m'
_space_group_IT_number 123
_space_group_name_Hall '-P 4 2'
loop_
_atom_site_label
_atom_site_type_symbol
_atom_site_fract_x
_atom_site_fract_y
_atom_site_fract_z
Mn1 Mn 0.0000 0.0000 0.0000
V1 V 0.5000 0.5000 0.0000
Mo1 Mo 0.0000 0.5000 0.5000
# Total moment ... 0.001 Bohr magnetons per cell
# Energy ... -0.7359 Ry per atom
# ΔE_f ... -0.56 kcal/mol of atoms
# Energy above the most stable polymorph in this dataset ... 0.0 meV per atom
# N(E_F) ... 3.39 states/eV/f.u.

---

[6]
# Mn3V2Mo, relaxed, DFT GGA-PBE
data_Mn3V2Mo
_cell_length_a 2.8954
_cell_length_b 2.8954
_cell_length_c 8.8507
_cell_angle_alpha 90.00
_cell_angle_beta 90.00
_cell_angle_gamma 90.00
_space_group_name_H-M_alt 'P 4/m m m'
_space_group_IT_number 123
_space_group_name_Hall '-P 4 2'
loop_
_atom_site_label
_atom_site_type_symbol
_atom_site_fract_x
_atom_site_fract_y
_atom_site_fract_z
Mn1 Mn 0.0000 0.0000 0.0000
Mn2 Mn 0.0000 0.0000 0.3199
V1 V 0.5000 0.5000 0.1619
Mo1 Mo 0.5000 0.5000 0.5000
# Total moment ... 0.000 Bohr magnetons per cell
# Energy ... -0.7035 Ry per atom
# ΔE_f ... -3.27 kcal/mol of atoms
# N(E_F) ... 3.66 states/eV/f.u.